# TlAs2IrO8 | Alexandria via LeMat-Bulk | PBE | optimized geometry
# **VASP energy**: -0.219 Ha/atom
# **ΔE_f (raw)**: -932 meV per atom
data_TlAs2IrO8
_chemical_formula_sum 'Tl2 As4 Ir2 O16'
_symmetry_space_group_name_H-M 'C 1 2/m 1'
_symmetry_Int_Tables_number 12
_cell_length_a 8.447
_cell_length_b 5.471
_cell_length_c 8.235
_cell_angle_alpha 90.00
_cell_angle_beta 94.53
_cell_angle_gamma 90.00
loop_
_symmetry_equiv_pos_as_xyz
'x,y,z'
'-x,-y,-z'
'-x,y,-z'
'x,-y,z'
'x+1/2,y+1/2,z'
'-x+1/2,-y+1/2,-z'
'-x+1/2,y+1/2,-z'
'x+1/2,-y+1/2,z'
loop_
_atom_site_label
_atom_site_type_symbol
_atom_site_fract_x
_atom_site_fract_y
_atom_site_fract_z
_atom_site_occupancy
Tl1 Tl 0.000 0.000 0.000 1
As1 As 0.133 0.500 0.307 1
Ir1 Ir 0.000 0.000 0.500 1
O1 O 0.003 0.249 0.327 1
O2 O 0.193 0.500 0.119 1
O3 O 0.234 0.000 0.517 1